Entry 1:
K2Nd2TiO6: relaxed, PBE.

**Symmetry**: No. 12
**Magnetic moment**: 0.000 μB per cell
**DFT total energy**: -7.194 eV per atom

Cell and atoms, written as POSCAR:
```
K2Nd2TiO6
1.0
2.992 -5.109 0.000
2.992 5.109 0.000
-1.688 0.000 6.380
K Nd Ti O
2 2 1 6
direct
0.157 0.843 0.000
0.843 0.157 0.000
0.335 0.665 0.500
0.665 0.335 0.500
0.000 0.000 0.500
0.044 0.341 0.670
0.231 0.231 0.327
0.341 0.044 0.670
0.659 0.956 0.330
0.769 0.769 0.673
0.956 0.659 0.330
```

***

Entry 2:
K2NdTi2O7: relaxed, PBE.

**Symmetry**: No. 139
**Magnetic moment**: 0.909 μB per cell
**DFT total energy**: -7.453 eV per atom

Cell and atoms, written as POSCAR:
```
K2NdTi2O7
1.0
-1.955 1.955 10.891
1.955 -1.955 10.891
1.955 1.955 -10.891
K Nd Ti O
2 1 2 7
direct
0.191 0.191 0.000
0.809 0.809 0.000
0.000 0.000 0.000
0.403 0.403 0.000
0.597 0.597 0.000
0.080 0.580 0.500
0.321 0.321 0.000
0.420 0.920 0.500
0.500 0.500 0.000
0.580 0.080 0.500
0.679 0.679 0.000
0.920 0.420 0.500
```

***

Entry 3:
K2Nd2Ti3O10: relaxed, PBE.

**Symmetry**: No. 42
**Magnetic moment**: 0.000 μB per cell
**DFT total energy**: -7.973 eV per atom

Cell and atoms, written as POSCAR:
```
K2Nd2Ti3O10
1.0
0.000 14.960 2.770
2.753 0.000 2.770
2.753 14.960 0.000
K Nd Ti O
2 2 3 10
direct
0.208 0.792 0.208
0.792 0.208 0.792
0.095 0.952 0.048
0.952 0.095 0.905
0.363 0.642 0.358
0.494 0.494 0.506
0.642 0.363 0.637
0.122 0.375 0.129
0.300 0.697 0.303
0.375 0.122 0.374
0.410 0.538 0.462
0.441 0.971 0.559
0.538 0.410 0.590
0.626 0.871 0.625
0.697 0.300 0.700
0.871 0.626 0.878
0.971 0.441 0.029
```

***

Entry 4:
K3Nd3TiO8: relaxed, PBE.

**Symmetry**: No. 166
**Magnetic moment**: 0.000 μB per cell
**DFT total energy**: -7.025 eV per atom

Cell and atoms, written as POSCAR:
```
K3Nd3TiO8
1.0
3.494 2.017 6.317
-3.494 2.017 6.317
0.000 -4.034 6.317
K Nd Ti O
3 3 1 8
direct
0.000 0.500 0.500
0.500 0.000 0.500
0.500 0.500 0.000
0.000 0.000 0.500
0.000 0.500 0.000
0.500 0.000 0.000
0.500 0.500 0.500
0.231 0.231 0.231
0.268 0.702 0.702
0.298 0.298 0.732
0.298 0.732 0.298
0.702 0.268 0.702
0.702 0.702 0.268
0.732 0.298 0.298
0.769 0.769 0.769
```

***

Entry 5:
KNdTlO3: relaxed, PBE.

**Symmetry**: No. 11
**Magnetic moment**: 0.000 μB per cell
**DFT total energy**: -5.718 eV per atom

Cell and atoms, written as POSCAR:
```
KNdTlO3
1.0
6.829 0.000 0.000
0.000 3.602 0.000
-3.152 0.000 10.723
K Nd Tl O
2 2 2 6
direct
0.241 0.250 0.231
0.759 0.750 0.769
0.327 0.750 0.875
0.673 0.250 0.125
0.154 0.250 0.601
0.846 0.750 0.399
0.088 0.250 0.792
0.354 0.750 0.656
0.434 0.750 0.092
0.566 0.250 0.908
0.646 0.250 0.344
0.912 0.750 0.208
```

***

Entry 6:
KNd2TlO5: relaxed, PBE.

**Symmetry**: No. 140
**Magnetic moment**: 0.000 μB per cell
**DFT total energy**: -6.398 eV per atom

Cell and atoms, written as POSCAR:
```
KNd2TlO5
1.0
-3.445 3.445 6.269
3.445 -3.445 6.269
3.445 3.445 -6.269
K Nd Tl O
2 4 2 10
direct
0.250 0.250 0.000
0.750 0.750 0.000
0.177 0.677 0.855
0.323 0.177 0.500
0.677 0.823 0.500
0.823 0.323 0.145
0.250 0.750 0.500
0.750 0.250 0.500
0.000 0.000 0.000
0.023 0.238 0.500
0.238 0.738 0.216
0.262 0.477 0.500
0.477 0.977 0.216
0.500 0.500 0.000
0.523 0.023 0.784
0.738 0.523 0.500
0.762 0.262 0.784
0.977 0.762 0.500
```

***

Entry 7:
K3Nd2TlO6: relaxed, PBE.

**Symmetry**: No. 12
**Magnetic moment**: 0.000 μB per cell
**DFT total energy**: -5.803 eV per atom

Cell and atoms, written as POSCAR:
```
K3Nd2TlO6
1.0
3.109 -5.385 0.000
3.109 5.385 0.000
-2.061 0.000 6.322
K Nd Tl O
3 2 1 6
direct
0.000 0.000 0.000
0.338 0.662 0.000
0.662 0.338 0.000
0.167 0.833 0.500
0.833 0.167 0.500
0.500 0.500 0.500
0.102 0.435 0.303
0.233 0.233 0.696
0.435 0.102 0.303
0.565 0.898 0.697
0.767 0.767 0.304
0.898 0.565 0.697
```

***

Entry 8:
K2NdTmO4: relaxed, PBE.

**Symmetry**: No. 10
**Magnetic moment**: 0.000 μB per cell
**DFT total energy**: -6.606 eV per atom

Cell and atoms, written as POSCAR:
```
K2NdTmO4
1.0
6.124 0.000 0.000
0.000 3.535 0.000
-2.037 0.000 6.278
K Nd Tm O
2 1 1 4
direct
0.000 0.000 0.000
0.500 0.500 0.000
0.000 0.500 0.500
0.500 0.000 0.500
0.243 0.000 0.688
0.283 0.500 0.315
0.717 0.500 0.685
0.757 0.000 0.312
```